# 1
Density functional theory data (PBE) for an optimized crystal structure of ZnCu2O4.

Output
The calculated volume is 80.9 Å³/f.u. For the total energy, the calculation gives -4.91 eV per atom. For the formation energy from raw total energies, the calculation gives -0.72 eV/atom. Its space group is I4_1/amd (141).

Unit cell a=6.637 b=6.637 c=6.637 alpha=131.25 beta=131.25 gamma=71.41
Positions (direct):
Zn: 0.000 0.000 0.000
Zn: 0.750 0.250 0.500
Cu: 0.375 0.625 0.250
Cu: 0.875 0.625 0.250
Cu: 0.375 0.125 0.750
Cu: 0.375 0.625 0.750
O: 0.145 0.373 0.772
O: 0.627 0.399 0.772
O: 0.627 0.855 0.228
O: 0.605 0.877 0.728
O: 0.149 0.877 0.272
O: 0.123 0.851 0.728
O: 0.601 0.373 0.228
O: 0.123 0.395 0.272

---

# 2
Density functional theory data (PBE) for an optimized crystal structure of ZnCu2O4.

Output
The calculated volume is 73.9 Å³/f.u. For the total energy, the calculation gives -4.84 eV per atom. For the formation energy from raw total energies, the calculation gives -0.66 eV/atom. Its space group is R3m (160).

Unit cell a=5.934 b=5.934 c=5.934 alpha=60.04 beta=60.04 gamma=60.04
Positions (direct):
Zn: 0.009 0.009 0.009
Zn: 0.625 0.625 0.625
Cu: 0.245 0.245 0.245
Cu: 0.625 0.625 0.125
Cu: 0.125 0.625 0.625
Cu: 0.625 0.125 0.625
O: 0.375 0.838 0.375
O: 0.838 0.375 0.375
O: 0.375 0.375 0.838
O: 0.374 0.374 0.374
O: 0.874 0.874 0.874
O: 0.871 0.871 0.417
O: 0.417 0.871 0.871
O: 0.871 0.417 0.871

---

# 3
Density functional theory data (PBE) for an optimized crystal structure of ZnCu2O4.

Output
The calculated volume is 66.8 Å³/f.u. For the total energy, the calculation gives -4.79 eV per atom. For the formation energy from raw total energies, the calculation gives -0.61 eV/atom. Its space group is Cmcm (63).

Unit cell a=5.061 b=5.061 c=9.390 alpha=90.00 beta=90.00 gamma=146.27
Positions (direct):
Zn: 0.608 0.392 0.250
Zn: 0.392 0.608 0.750
Cu: 0.132 0.868 0.570
Cu: 0.868 0.132 0.430
Cu: 0.132 0.868 0.930
Cu: 0.868 0.132 0.070
O: 0.780 0.220 0.887
O: 0.220 0.780 0.113
O: 0.220 0.780 0.387
O: 0.780 0.220 0.613
O: 0.042 0.958 0.750
O: 0.958 0.042 0.250
O: 0.500 0.500 0.500
O: 0.500 0.500 0.000

---

# 4
Density functional theory data (PBE) for an optimized crystal structure of Zn3CuO.

Output
The calculated volume is 70.6 Å³/f.u. For the total energy, the calculation gives -2.62 eV per atom. For the formation energy from raw total energies, the calculation gives -0.05 eV/atom. Its space group is Pm-3m (221).

Unit cell a=4.132 b=4.132 c=4.132 alpha=90.00 beta=90.00 gamma=90.00
Positions (direct):
Zn: 0.000 0.500 0.000
Zn: 0.000 0.000 0.500
Zn: 0.500 0.000 0.000
O: 0.000 0.000 0.000
Cu: 0.500 0.500 0.500

---

# 5
Density functional theory data (PBE) for an optimized crystal structure of ZnCuO3.

Output
The calculated volume is 50.0 Å³/f.u. For the total energy, the calculation gives -4.16 eV per atom. For the formation energy from raw total energies, the calculation gives -0.11 eV/atom. Its space group is Pm-3m (221).

Unit cell a=3.684 b=3.684 c=3.684 alpha=90.00 beta=90.00 gamma=90.00
Positions (direct):
Zn: 0.500 0.500 0.500
O: 0.000 0.500 0.000
O: 0.000 0.000 0.500
O: 0.500 0.000 0.000
Cu: 0.000 0.000 0.000

---

# 6
Density functional theory data (PBE) for an optimized crystal structure of Zn3Cu5O12.

Output
The calculated volume is 221.6 Å³/f.u. For the total energy, the calculation gives -4.64 eV per atom. For the formation energy from raw total energies, the calculation gives -0.45 eV/atom. Its space group is Ia-3d (230).

Unit cell a=10.482 b=10.482 c=10.482 alpha=109.47 beta=109.47 gamma=109.47
Positions (direct):
Zn: 0.750 0.375 0.125
Zn: 0.875 0.750 0.125
Zn: 0.375 0.750 0.625
Zn: 0.250 0.125 0.375
Zn: 0.875 0.125 0.250
Zn: 0.375 0.625 0.250
Zn: 0.625 0.375 0.750
Zn: 0.125 0.875 0.750
Zn: 0.750 0.875 0.625
Zn: 0.625 0.250 0.375
Zn: 0.125 0.250 0.875
Zn: 0.250 0.625 0.875
Cu: 0.125 0.375 0.250
Cu: 0.000 0.500 0.000
Cu: 0.000 0.000 0.000
Cu: 0.375 0.250 0.125
Cu: 0.500 0.000 0.500
Cu: 0.500 0.500 0.000
Cu: 0.125 0.750 0.375
Cu: 0.750 0.125 0.875
Cu: 0.750 0.625 0.375
Cu: 0.375 0.125 0.750
Cu: 0.625 0.875 0.250
Cu: 0.500 0.500 0.500
Cu: 0.500 0.000 0.000
Cu: 0.000 0.000 0.500
Cu: 0.250 0.375 0.625
Cu: 0.250 0.875 0.125
Cu: 0.000 0.500 0.500
Cu: 0.875 0.250 0.625
Cu: 0.625 0.750 0.875
Cu: 0.875 0.625 0.750
O: 0.692 0.143 0.025
O: 0.334 0.525 0.382
O: 0.975 0.357 0.308
O: 0.525 0.192 0.143
O: 0.549 0.692 0.666
O: 0.975 0.618 0.166
O: 0.334 0.808 0.451
O: 0.118 0.951 0.143
O: 0.618 0.975 0.666
O: 0.692 0.549 0.166
O: 0.808 0.475 0.357
O: 0.834 0.882 0.025
O: 0.143 0.692 0.525
O: 0.357 0.382 0.049
O: 0.049 0.882 0.357
O: 0.451 0.143 0.618
O: 0.049 0.166 0.192
O: 0.475 0.666 0.118
O: 0.834 0.951 0.308
O: 0.143 0.451 0.118
O: 0.357 0.975 0.808
O: 0.618 0.643 0.451
O: 0.882 0.834 0.525
O: 0.808 0.334 0.951
O: 0.382 0.357 0.549
O: 0.118 0.166 0.475
O: 0.192 0.666 0.049
O: 0.166 0.049 0.692
O: 0.643 0.025 0.192
O: 0.857 0.549 0.882
O: 0.525 0.334 0.882
O: 0.549 0.857 0.382
O: 0.951 0.834 0.808
O: 0.951 0.118 0.643
O: 0.857 0.308 0.475
O: 0.166 0.118 0.975
O: 0.643 0.618 0.951
O: 0.382 0.025 0.334
O: 0.308 0.451 0.834
O: 0.192 0.525 0.643
O: 0.882 0.049 0.857
O: 0.666 0.192 0.549
O: 0.475 0.808 0.857
O: 0.025 0.382 0.834
O: 0.451 0.308 0.334
O: 0.025 0.643 0.692
O: 0.666 0.475 0.618
O: 0.308 0.857 0.975

---

# 7
Density functional theory data (PBE) for an optimized crystal structure of ZnCu2O4.

Output
The calculated volume is 79.7 Å³/f.u. For the total energy, the calculation gives -4.78 eV per atom. For the formation energy from raw total energies, the calculation gives -0.60 eV/atom. Its space group is P-1 (2).

Unit cell a=3.229 b=7.209 c=7.082 alpha=97.42 beta=101.35 gamma=94.22
Positions (direct):
Zn: 0.202 0.824 0.175
Zn: 0.798 0.176 0.825
Cu: 0.857 0.814 0.536
Cu: 0.443 0.469 0.192
Cu: 0.557 0.531 0.808
Cu: 0.143 0.186 0.464
O: 0.602 0.346 0.605
O: 0.952 0.698 0.750
O: 0.048 0.302 0.250
O: 0.398 0.654 0.395
O: 0.197 0.035 0.675
O: 0.636 0.668 0.059
O: 0.803 0.965 0.325
O: 0.364 0.332 0.941

---

# 8
Density functional theory data (PBE) for an optimized crystal structure of ZnCu2O4.

Output
The calculated volume is 73.9 Å³/f.u. For the total energy, the calculation gives -4.85 eV per atom. For the formation energy from raw total energies, the calculation gives -0.67 eV/atom. Its space group is Cm (8).

Unit cell a=5.941 b=5.940 c=17.793 alpha=59.94 beta=59.94 gamma=60.02
Positions (direct):
Zn: 0.121 0.121 0.045
Zn: 0.124 0.124 0.376
Zn: 0.500 0.500 0.000
Zn: 0.123 0.123 0.710
Zn: 0.879 0.879 0.288
Zn: 0.875 0.875 0.625
Cu: 0.000 0.500 0.167
Cu: 0.500 0.500 0.167
Cu: 0.000 0.500 0.500
Cu: 0.500 0.000 0.167
Cu: 0.498 0.498 0.335
Cu: 0.500 0.500 0.500
Cu: 0.000 0.500 0.834
Cu: 0.500 0.000 0.500
Cu: 0.499 0.000 0.834
Cu: 0.501 0.501 0.666
Cu: 0.500 0.500 0.834
Cu: 0.878 0.878 0.955
O: 0.253 0.253 0.093
O: 0.260 0.259 0.241
O: 0.253 0.716 0.093
O: 0.716 0.253 0.093
O: 0.290 0.738 0.245
O: 0.261 0.261 0.421
O: 0.738 0.290 0.245
O: 0.745 0.745 0.087
O: 0.261 0.716 0.421
O: 0.260 0.260 0.573
O: 0.738 0.738 0.245
O: 0.717 0.261 0.421
O: 0.284 0.739 0.580
O: 0.262 0.262 0.754
O: 0.739 0.284 0.580
O: 0.741 0.741 0.426
O: 0.259 0.259 0.908
O: 0.262 0.714 0.754
O: 0.739 0.739 0.579
O: 0.714 0.262 0.754
O: 0.277 0.749 0.908
O: 0.738 0.738 0.761
O: 0.749 0.277 0.908
O: 0.749 0.749 0.908